Material: ZnCrNi2
Method: DFT, PBE
State: optimized geometry

Cell: 4.0434 4.0434 4.0434 Å, 60.00 60.00 60.00°
Element x y z (fractional)
1 Cr 0.5000 0.5000 0.5000
2 Ni 0.0000 0.0000 0.0000
3 Ni 0.2500 0.2500 0.2500
4 Zn 0.7500 0.7500 0.7500

Values from the calculation:
Total moment: 0.001 μB per cell
Formation energy from the elements: 126 meV/atom
V: 11.7 A^3/atom
Symmetry: No. 216


Material: RbAlCu2Ni
Method: DFT, PBE
State: optimized geometry

Cell: 4.8389 4.5200 4.8389 Å, 90.00 90.00 90.00°
Element x y z (fractional)
1 Ni 0.0000 0.0000 0.0000
2 Cu 0.0000 0.0000 0.5000
3 Cu 0.5000 0.0000 0.0000
4 Rb 0.5000 0.5000 0.5000
5 Al 0.0000 0.5000 0.0000

Values from the calculation:
Total moment: 0.000 μB per cell
Formation energy from the elements: 388 meV/atom
V: 21.2 A^3/atom
Symmetry: No. 123


Material: Sm2YTm2Th2
Method: DFT, PBE
State: optimized geometry

Cell: 3.5005 11.7564 5.7213 Å, 104.05 90.00 98.56°
Element x y z (fractional)
1 Sm 0.8515 0.7029 0.3512
2 Sm 0.1485 0.2971 0.6488
3 Y 0.0000 0.0000 0.5000
4 Tm 0.5771 0.1542 0.0775
5 Tm 0.4229 0.8458 0.9225
6 Th 0.2163 0.4326 0.2165
7 Th 0.7837 0.5674 0.7835

Values from the calculation:
Total moment: 0.000 μB per cell
Formation energy from the elements: 75 meV/atom
V: 32.2 A^3/atom
Symmetry: No. 71


Material: Rb2Mg3GaSn4
Method: DFT, PBE
State: optimized geometry

Cell: 4.8418 4.8418 12.7500 Å, 90.00 90.00 90.00°
Element x y z (fractional)
1 Rb 0.5000 0.0000 0.2558
2 Rb 0.0000 0.5000 0.7442
3 Mg 0.0000 0.0000 0.5000
4 Mg 0.5000 0.0000 0.8597
5 Mg 0.0000 0.5000 0.1403
6 Ga 0.5000 0.5000 0.5000
7 Sn 0.5000 0.5000 0.0000
8 Sn 0.0000 0.0000 0.0000
9 Sn 0.5000 0.0000 0.6295
10 Sn 0.0000 0.5000 0.3705

Values from the calculation:
Total moment: 0.000 μB per cell
Formation energy from the elements: -172 meV/atom
V: 29.9 A^3/atom
Symmetry: No. 115


Material: TiGaAu2Br
Method: DFT, PBE
State: optimized geometry

Cell: 5.0056 5.4772 5.0056 Å, 90.00 90.00 90.00°
Last column: magnetic moment on the atom in μB.
Element x y z (fractional)
1 Au 0.0000 0.0000 0.5000  -0.02
2 Au 0.5000 0.0000 0.0000  0.02
3 Ga 0.0000 0.5000 0.0000  0.02
4 Br 0.5000 0.5000 0.5000  0.01
5 Ti 0.0000 0.0000 0.0000  0.72

Values from the calculation:
Total moment: 0.910 μB per cell
Formation energy without anion corrections: 0.4962 eV/atom
V: 27.4 A^3/atom
Symmetry: No. 123


Material: KOs2Rh
Method: DFT, PBE
State: optimized geometry

Cell: 2.8265 2.8265 9.1357 Å, 90.00 90.00 90.00°
Element x y z (fractional)
1 K 0.5000 0.5000 0.7445
2 Os 0.0000 0.0000 0.0635
3 Os 0.5000 0.5000 0.2456
4 Rh 0.0000 0.0000 0.4463

Values from the calculation:
Total moment: 0.001 μB per cell
Formation energy from the elements: 660 meV/atom
Distance to the lowest polymorph of the same formula: 0.00 eV/f.u.
V: 18.2 A^3/atom
Symmetry: No. 99


Material: ThMgZrZn
Method: DFT, PBE
State: optimized geometry

Cell: 5.0924 5.0924 5.0924 Å, 60.00 60.00 60.00°
Element x y z (fractional)
1 Mg 0.5000 0.5000 0.5000
2 Zn 0.0000 0.0000 0.0000
3 Zr 0.2500 0.2500 0.2500
4 Th 0.7500 0.7500 0.7500

Values from the calculation:
Total moment: 0.000 μB per cell
Formation energy from the elements: 18 meV/atom
V: 23.3 A^3/atom
Symmetry: No. 216


Material: Dy8In2Ag
Method: DFT, PBE
State: optimized geometry

Cell: 5.1779 6.7824 9.6473 Å, 101.58 105.57 90.00°
Element x y z (fractional)
1 Dy 0.4071 0.5356 0.8142
2 Dy 0.6537 0.9729 0.3073
3 Dy 0.7956 0.7016 0.5913
4 Dy 0.9825 0.2344 0.9650
5 Dy 0.2044 0.2984 0.4087
6 Dy 0.3463 0.0271 0.6927
7 Dy 0.5929 0.4644 0.1858
8 Dy 0.0175 0.7656 0.0350
9 In 0.8119 0.2531 0.6237
10 In 0.1881 0.7469 0.3763
11 Ag 0.5000 0.0000 0.0000

Values from the calculation:
Total moment: 0.000 μB per cell
Formation energy from the elements: -186 meV/atom
V: 29.0 A^3/atom
Symmetry: No. 12


Material: LiOs2Cl
Method: DFT, PBE
State: optimized geometry

Cell: 4.2551 4.2551 2.9178 Å, 90.00 90.00 90.00°
Element x y z (fractional)
1 Cl 0.5000 0.0000 0.5000
2 Li 0.0000 0.5000 0.5000
3 Os 0.0000 0.0000 0.0000
4 Os 0.5000 0.5000 0.0000

Values from the calculation:
Total moment: 0.000 μB per cell
Distance to the lowest polymorph of the same formula: 4.52 eV/f.u.
Formation energy without anion corrections: 1.2533 eV/atom
V: 13.2 A^3/atom
Symmetry: No. 123


Material: KRe2Sb
Method: DFT, PBE
State: optimized geometry

Cell: 4.8746 4.0185 4.0185 Å, 90.00 90.00 90.00°
Element x y z (fractional)
1 K 0.5000 0.0000 0.5000
2 Re 0.0000 0.0000 0.0000
3 Re 0.0000 0.5000 0.5000
4 Sb 0.5000 0.5000 0.0000

Values from the calculation:
Total moment: 0.000 μB per cell
Formation energy without anion corrections: 1.5812 eV/atom
V: 19.7 A^3/atom
Symmetry: No. 123


Material: CdNi2Se
Method: DFT, PBE
State: optimized geometry

Cell: 4.4679 4.4679 4.4679 Å, 60.00 60.00 60.00°
Last column: magnetic moment on the atom in μB.
Element x y z (fractional)
1 Cd 0.5000 0.5000 0.5000  0.00
2 Ni 0.0000 0.0000 0.0000  0.32
3 Ni 0.2500 0.2500 0.2500  0.30
4 Se 0.7500 0.7500 0.7500  0.08

Values from the calculation:
Total moment: 0.701 μB per cell
Distance to the lowest polymorph of the same formula: 1.69 eV/f.u.
Formation energy without anion corrections: 0.3879 eV/atom
V: 15.8 A^3/atom
Symmetry: No. 216


Material: NaCaCe2Tl4
Method: DFT, PBE
State: optimized geometry

Cell: 5.4684 5.4684 9.5010 Å, 73.27 73.27 60.00°
Last column: magnetic moment on the atom in μB.
Element x y z (fractional)
1 Na 0.5000 0.5000 0.5000  0.00
2 Ca 0.0000 0.0000 0.0000  0.01
3 Ce 0.7516 0.7516 0.7453  0.93
4 Ce 0.2484 0.2484 0.2547  0.93
5 Tl 0.3766 0.3766 0.8701  0.02
6 Tl 0.8742 0.8742 0.3775  0.02
7 Tl 0.1258 0.1258 0.6225  0.02
8 Tl 0.6234 0.6234 0.1299  0.02

Values from the calculation:
Total moment: 2.276 μB per cell
Formation energy from the elements: -258 meV/atom
V: 29.0 A^3/atom
Symmetry: No. 166


Material: AcEuYCd
Method: DFT, PBE
State: optimized geometry

Cell: 5.7579 5.7579 5.7579 Å, 60.00 60.00 60.00°
Last column: magnetic moment on the atom in μB.
Element x y z (fractional)
1 Eu 0.5000 0.5000 0.5000  6.87
2 Y 0.0000 0.0000 0.0000  0.06
3 Ac 0.2500 0.2500 0.2500  0.09
4 Cd 0.7500 0.7500 0.7500  -0.01

Values from the calculation:
Total moment: 7.427 μB per cell
Formation energy from the elements: 63 meV/atom
V: 33.7 A^3/atom
Symmetry: No. 216


Material: HfPC2
Method: DFT, PBE
State: optimized geometry

Cell: 5.3234 5.3234 4.9177 Å, 57.23 57.23 90.00°
Element x y z (fractional)
1 P 0.5000 0.5000 0.0000
2 P 0.2500 0.7500 0.5000
3 C 0.5397 0.1250 0.2500
4 C 0.2103 0.6250 0.2500
5 C 0.3750 0.4603 0.7500
6 C 0.8750 0.7897 0.7500
7 Hf 0.0000 0.0000 0.0000
8 Hf 0.7500 0.2500 0.5000

Values from the calculation:
Total moment: 0.000 μB per cell
Formation energy from the elements: 134 meV/atom
V: 11.2 A^3/atom
Symmetry: No. 122


Material: U2InPd8
Method: DFT, PBE
State: optimized geometry

Cell: 5.1389 7.5016 8.0227 Å, 62.13 71.97 48.53°
Last column: magnetic moment on the atom in μB.
Element x y z (fractional)
1 U 0.0000 0.3184 0.3632  1.69
2 U 0.0000 0.6816 0.6368  1.69
3 In 0.5000 0.0000 0.0000  -0.01
4 Pd 0.7746 0.1017 0.2756  -0.03
5 Pd 0.7746 0.3773 0.7244  -0.03
6 Pd 0.2764 0.4694 0.0000  -0.04
7 Pd 0.5000 0.8079 0.3843  -0.04
8 Pd 0.5000 0.1921 0.6157  -0.04
9 Pd 0.7236 0.5306 0.0000  -0.04
10 Pd 0.2254 0.6227 0.2756  -0.03
11 Pd 0.2254 0.8983 0.7244  -0.03

Values from the calculation:
Total moment: 3.331 μB per cell
Formation energy from the elements: -346 meV/atom
Distance to the lowest polymorph of the same formula: 0.32 eV/f.u.
V: 18.6 A^3/atom
Symmetry: No. 12


Material: Th3Si8Ir3
Method: DFT, PBE
State: optimized geometry

Cell: 4.2426 7.9674 7.9674 Å, 76.07 74.56 74.56°
Element x y z (fractional)
1 Th 0.5000 0.5000 0.5000
2 Th 0.8033 0.1967 0.1967
3 Th 0.1967 0.8033 0.8033
4 Si 0.6247 0.0917 0.6590
5 Si 0.3753 0.9083 0.3410
6 Si 0.6247 0.6590 0.0917
7 Si 0.3753 0.3410 0.9083
8 Si 0.8372 0.7994 0.5261
9 Si 0.1628 0.2006 0.4739
10 Si 0.8372 0.5261 0.7994
11 Si 0.1628 0.4739 0.2006
12 Ir 0.5000 0.0000 0.0000
13 Ir 0.0000 0.7888 0.2112
14 Ir 0.0000 0.2112 0.7888

Values from the calculation:
Total moment: 0.000 μB per cell
Formation energy without anion corrections: -0.5547 eV/atom
V: 17.6 A^3/atom
Symmetry: No. 71


Material: Cr4FeTe
Method: DFT, PBE
State: optimized geometry

Cell: 4.8412 4.8412 4.8412 Å, 60.00 60.00 60.00°
Last column: magnetic moment on the atom in μB.
Element x y z (fractional)
1 Cr 0.8700 0.3767 0.3767  0.09
2 Cr 0.3767 0.3767 0.8700  0.09
3 Cr 0.3767 0.8700 0.3767  0.09
4 Cr 0.3767 0.3767 0.3767  0.09
5 Fe 0.7500 0.7500 0.7500  2.59
6 Te 0.0000 0.0000 0.0000  0.03

Values from the calculation:
Total moment: 2.974 μB per cell
Formation energy without anion corrections: 0.4765 eV/atom
V: 13.4 A^3/atom
Symmetry: No. 216


Material: SrScSe2Cl
Method: DFT, PBE
State: optimized geometry

Cell: 5.2782 5.2782 4.8961 Å, 90.00 90.00 90.00°
Element x y z (fractional)
1 Sc 0.0000 0.0000 0.0000
2 Sr 0.5000 0.5000 0.5000
3 Se 0.0000 0.5000 0.0000
4 Se 0.5000 0.0000 0.0000
5 Cl 0.0000 0.0000 0.5000

Values from the calculation:
Total moment: 0.000 μB per cell
Formation energy without anion corrections: -1.7877 eV/atom
V: 27.3 A^3/atom
Symmetry: No. 123


Material: Sm2RhF
Method: DFT, PBE
State: optimized geometry

Cell: 3.9462 3.9462 8.3496 Å, 76.33 76.33 60.00°
Element x y z (fractional)
1 Sm 0.0821 0.0821 0.7536
2 Sm 0.2809 0.2809 0.1573
3 Rh 0.6755 0.6755 0.9734
4 F 0.4614 0.4614 0.6157

Values from the calculation:
Total moment: 0.000 μB per cell
Distance to the lowest polymorph of the same formula: 0.68 eV/f.u.
Formation energy without anion corrections: -1.5218 eV/atom
V: 27.1 A^3/atom
Symmetry: No. 160


Material: Na2Sm3TmTe6
Method: DFT, PBE
State: optimized geometry

Cell: 7.6688 7.6688 7.7488 Å, 99.46 99.46 119.93°
Element x y z (fractional)
1 Na 0.3351 0.6649 0.0000
2 Na 0.6649 0.3351 0.0000
3 Sm 0.1709 0.8291 0.5000
4 Sm 0.8291 0.1709 0.5000
5 Sm 0.5000 0.5000 0.5000
6 Tm 0.0000 0.0000 0.0000
7 Te 0.9189 0.5924 0.7560
8 Te 0.7585 0.7585 0.2500
9 Te 0.0811 0.4076 0.2440
10 Te 0.5924 0.9189 0.7560
11 Te 0.2415 0.2415 0.7500
12 Te 0.4076 0.0811 0.2440

Values from the calculation:
Total moment: 0.000 μB per cell
Formation energy without anion corrections: -1.3229 eV/atom
V: 31.1 A^3/atom
Symmetry: No. 12